Computed, not measured: Li2La2YTl2 after structural relaxation at the PBE-GGA level of DFT.

a = 4.8460 Å, b = 4.8460 Å, c = 9.4223 Å
α = 75.10°, β = 75.10°, γ = 60.00°
Fractional positions:
Li 0.3965 0.3965 0.8105
Tl 0.2686 0.2686 0.1942
La 0.8641 0.8641 0.4076
Tl 0.7314 0.7314 0.8058
La 0.1359 0.1359 0.5924
Li 0.6035 0.6035 0.1895
Y 0.0000 0.0000 0.0000

- Raw total energy: -26.555 eV per formula unit
- Energy of formation: -1.7 eV per formula unit